(P)
! PBE La2PmTm3, relaxed; values from VASP
&SYSTEM
  ibrav = 0, nat = 12, ntyp = 3
/
ATOMIC_SPECIES
La 138.91 La.upf
Pm 145.00 Pm.upf
Tm 168.93 Tm.upf
CELL_PARAMETERS angstrom
-5.151 4.418 -1.937
-3.115 -7.771 3.416
1.040 3.804 5.909
ATOMIC_POSITIONS angstrom
La -3.210 -2.052 4.017
La -2.755 -0.094 6.947
La -4.471 0.546 0.440
La -4.016 2.504 3.370
Pm -3.504 4.179 0.062
Pm -0.607 4.043 3.910
Tm -2.979 6.077 3.018
Tm -1.132 2.145 0.954
Tm -5.806 1.699 6.343
Tm -0.945 0.694 3.981
Tm -6.281 -0.243 3.405
Tm -1.419 -1.247 1.044
! Total magnetic moment (μB/f.u.): 0.00

---

(Q)
! PBE La2PmTm3, relaxed; values from VASP
&SYSTEM
  ibrav = 0, nat = 12, ntyp = 3
/
ATOMIC_SPECIES
La 138.91 La.upf
Pm 145.00 Pm.upf
Tm 168.93 Tm.upf
CELL_PARAMETERS angstrom
-0.624 -2.831 1.972
-0.786 -6.452 -6.395
12.109 -5.054 -0.304
ATOMIC_POSITIONS angstrom
La 9.743 -9.911 -1.794
La 0.955 -4.425 -2.934
La 5.905 -5.577 0.097
La 4.793 -8.760 -4.825
Pm 7.142 -7.587 -2.397
Pm 3.556 -6.749 -2.330
Tm 9.526 -4.935 -0.952
Tm 1.172 -9.401 -3.776
Tm 10.764 -11.967 -4.422
Tm -0.065 -2.369 -0.305
Tm 7.460 -10.963 -4.027
Tm 3.238 -3.373 -0.701
! Total magnetic moment (μB/f.u.): 0.00

---

Which is the most stable structure? (Q) is the most stable.

---

(P)
! PBE LaPmTm2, relaxed; values from VASP
&SYSTEM
  ibrav = 0, nat = 4, ntyp = 3
/
ATOMIC_SPECIES
Tm 168.93 Tm.upf
La 138.91 La.upf
Pm 145.00 Pm.upf
CELL_PARAMETERS angstrom
-2.565 -2.139 1.463
2.448 -2.675 0.381
2.301 3.384 8.981
ATOMIC_POSITIONS angstrom
Tm 1.733 2.550 6.766
Tm 0.567 0.834 2.214
La 1.092 -0.715 5.412
Pm -0.058 -2.407 0.922
! Total magnetic moment (μB/f.u.): 0.00

---

(Q)
! PBE LaPmTm2, relaxed; values from VASP
&SYSTEM
  ibrav = 0, nat = 4, ntyp = 3
/
ATOMIC_SPECIES
Tm 168.93 Tm.upf
La 138.91 La.upf
Pm 145.00 Pm.upf
CELL_PARAMETERS angstrom
-0.791 4.005 4.025
-3.596 -0.984 4.355
2.058 -0.806 5.290
ATOMIC_POSITIONS angstrom
Tm -0.582 0.554 3.417
Tm -1.747 1.662 10.252
La -1.164 1.108 6.835
Pm 0.000 0.000 0.000
! Total magnetic moment (μB/f.u.): 0.00

---

(R)
! PBE LaPmTm2, relaxed; values from VASP
&SYSTEM
  ibrav = 0, nat = 4, ntyp = 3
/
ATOMIC_SPECIES
Tm 168.93 Tm.upf
La 138.91 La.upf
Pm 145.00 Pm.upf
CELL_PARAMETERS angstrom
3.604 0.000 0.000
1.802 3.121 0.000
1.802 1.040 11.581
ATOMIC_POSITIONS angstrom
Tm 5.406 3.121 8.718
Tm 1.802 1.040 2.863
La 3.604 2.081 5.790
Pm 0.000 0.000 0.000
! Total magnetic moment (μB/f.u.): 0.00

---

Which is the most stable structure? (R) is the most stable.

---

(P)
! PBE LaPmTm2, relaxed; values from VASP
&SYSTEM
  ibrav = 0, nat = 4, ntyp = 3
/
ATOMIC_SPECIES
Tm 168.93 Tm.upf
La 138.91 La.upf
Pm 145.00 Pm.upf
CELL_PARAMETERS angstrom
4.947 0.000 0.000
0.000 5.152 0.000
0.000 0.000 5.152
ATOMIC_POSITIONS angstrom
Tm 0.000 0.000 2.576
Tm 0.000 2.576 0.000
La 2.473 0.000 0.000
Pm 2.473 2.576 2.576
! Total magnetic moment (μB/f.u.): 0.00

---

(Q)
! PBE LaPmTm2, relaxed; values from VASP
&SYSTEM
  ibrav = 0, nat = 8, ntyp = 3
/
ATOMIC_SPECIES
La 138.91 La.upf
Pm 145.00 Pm.upf
Tm 168.93 Tm.upf
CELL_PARAMETERS angstrom
-0.484 -5.523 -0.411
4.598 -0.101 -4.059
2.095 -0.905 9.701
ATOMIC_POSITIONS angstrom
La 0.000 0.000 0.000
La 0.806 -3.214 4.645
Pm 4.054 -3.466 4.206
Pm 2.155 -3.063 1.025
Tm 1.587 -0.378 3.216
Tm 2.553 -3.573 7.410
Tm 3.656 -2.956 -2.179
Tm 5.106 -0.628 2.426
! Total magnetic moment (μB/f.u.): 0.00

---

Which is the most stable structure? (P) is the most stable.

---

(P)
! PBE LaPm2Tm, relaxed; values from VASP
&SYSTEM
  ibrav = 0, nat = 4, ntyp = 3
/
ATOMIC_SPECIES
Tm 168.93 Tm.upf
La 138.91 La.upf
Pm 145.00 Pm.upf
CELL_PARAMETERS angstrom
5.171 0.000 0.000
0.000 5.119 0.000
0.000 0.000 5.119
ATOMIC_POSITIONS angstrom
Tm 2.585 2.559 2.559
La 2.585 0.000 0.000
Pm 0.000 0.000 2.559
Pm 0.000 2.559 0.000
! Total magnetic moment (μB/f.u.): 0.00

---

(Q)
! PBE LaPm2Tm, relaxed; values from VASP
&SYSTEM
  ibrav = 0, nat = 4, ntyp = 3
/
ATOMIC_SPECIES
Tm 168.93 Tm.upf
La 138.91 La.upf
Pm 145.00 Pm.upf
CELL_PARAMETERS angstrom
-5.484 -1.866 -0.201
-1.503 -4.185 -3.718
-1.337 -5.285 1.970
ATOMIC_POSITIONS angstrom
Tm 0.000 0.000 0.000
La -4.162 -5.668 -0.975
Pm -2.081 -2.834 -0.487
Pm -6.243 -8.502 -1.462
! Total magnetic moment (μB/f.u.): 1.33

---

(R)
! PBE LaPm2Tm, relaxed; values from VASP
&SYSTEM
  ibrav = 0, nat = 4, ntyp = 3
/
ATOMIC_SPECIES
Tm 168.93 Tm.upf
La 138.91 La.upf
Pm 145.00 Pm.upf
CELL_PARAMETERS angstrom
3.637 0.000 0.000
0.000 3.637 0.000
0.000 0.000 10.296
ATOMIC_POSITIONS angstrom
Tm 1.818 1.818 0.000
La 1.818 1.818 5.148
Pm 0.000 0.000 7.806
Pm 0.000 0.000 2.490
! Total magnetic moment (μB/f.u.): 0.00

---

Which is the most stable structure? (P) is the most stable.

---

(P)
! PBE LaPm3Tm, relaxed; values from VASP
&SYSTEM
  ibrav = 0, nat = 10, ntyp = 3
/
ATOMIC_SPECIES
La 138.91 La.upf
Pm 145.00 Pm.upf
Tm 168.93 Tm.upf
CELL_PARAMETERS angstrom
-4.846 -4.338 -2.932
5.732 3.817 -6.440
0.932 -5.546 6.664
ATOMIC_POSITIONS angstrom
La 3.046 0.842 -6.280
La -1.229 -6.909 3.572
Pm 3.790 0.523 -2.684
Pm -0.290 -4.135 -2.084
Pm 1.359 -1.653 -4.155
Pm 0.458 -4.414 1.447
Pm -1.973 -6.591 -0.024
Pm 2.107 -1.933 -0.623
Tm 1.203 -4.726 5.002
Tm 0.614 -1.341 -7.709
! Total magnetic moment (μB/f.u.): 0.00

---

(Q)
! PBE LaPm3Tm, relaxed; values from VASP
&SYSTEM
  ibrav = 0, nat = 10, ntyp = 3
/
ATOMIC_SPECIES
La 138.91 La.upf
Pm 145.00 Pm.upf
Tm 168.93 Tm.upf
CELL_PARAMETERS angstrom
-0.184 -5.180 -3.408
-2.458 -5.182 2.363
-11.007 -0.470 -4.337
ATOMIC_POSITIONS angstrom
La -11.866 -3.930 -4.677
La -1.783 -6.901 -0.705
Pm -9.217 -2.977 -2.549
Pm -8.539 -4.704 -5.562
Pm -3.552 -4.441 -2.513
Pm -5.110 -6.127 0.180
Pm -4.432 -7.854 -2.833
Pm -10.097 -6.390 -2.869
Tm -5.965 -1.955 -2.351
Tm -7.684 -8.876 -3.031
! Total magnetic moment (μB/f.u.): 0.00

---

Which is the most stable structure? (P) is the most stable.

---

(P)
! PBE LaPmTm4, relaxed; values from VASP
&SYSTEM
  ibrav = 0, nat = 6, ntyp = 3
/
ATOMIC_SPECIES
La 138.91 La.upf
Pm 145.00 Pm.upf
Tm 168.93 Tm.upf
CELL_PARAMETERS angstrom
3.337 -0.922 0.001
-1.829 6.372 0.001
-0.001 -0.002 9.790
ATOMIC_POSITIONS angstrom
La 3.325 -0.912 4.914
Pm 0.742 2.736 0.019
Tm 2.410 2.274 6.565
Tm 2.410 2.274 3.264
Tm 1.657 -0.451 1.633
Tm 1.656 -0.452 8.194
! Total magnetic moment (μB/f.u.): 0.00

---

(Q)
! PBE LaPmTm4, relaxed; values from VASP
&SYSTEM
  ibrav = 0, nat = 6, ntyp = 3
/
ATOMIC_SPECIES
Tm 168.93 Tm.upf
La 138.91 La.upf
Pm 145.00 Pm.upf
CELL_PARAMETERS angstrom
6.655 0.000 0.000
3.328 5.764 0.000
3.328 1.921 5.434
ATOMIC_POSITIONS angstrom
Tm 6.655 3.842 0.683
Tm 6.655 1.925 3.395
Tm 8.316 4.801 3.395
Tm 4.995 4.801 3.395
La 0.000 0.000 0.000
Pm 3.328 1.921 1.358
! Total magnetic moment (μB/f.u.): 5.44

---

(R)
! PBE LaPmTm4, relaxed; values from VASP
&SYSTEM
  ibrav = 0, nat = 12, ntyp = 3
/
ATOMIC_SPECIES
La 138.91 La.upf
Pm 145.00 Pm.upf
Tm 168.93 Tm.upf
CELL_PARAMETERS angstrom
6.401 -0.725 0.000
-2.634 8.713 0.000
-1.883 -3.994 7.357
ATOMIC_POSITIONS angstrom
La 0.283 4.175 1.216
La 1.600 -0.181 6.141
Pm -2.917 4.538 7.284
Pm 4.801 -0.544 0.073
Tm -1.537 -1.555 5.331
Tm 1.721 3.230 4.492
Tm -1.663 1.918 5.331
Tm -1.155 5.120 4.492
Tm 3.038 -1.126 2.865
Tm 3.547 2.076 2.025
Tm 0.162 0.764 2.865
Tm 3.421 5.549 2.025
! Total magnetic moment (μB/f.u.): 0.00

---

Which is the most stable structure? (P) is the most stable.

---

(P)
! PBE LaPm5Tm3, relaxed; values from VASP
&SYSTEM
  ibrav = 0, nat = 18, ntyp = 3
/
ATOMIC_SPECIES
La 138.91 La.upf
Pm 145.00 Pm.upf
Tm 168.93 Tm.upf
CELL_PARAMETERS angstrom
-3.446 -6.645 -4.128
4.689 1.856 -6.902
5.434 -2.486 8.316
ATOMIC_POSITIONS angstrom
La 1.305 -5.763 -0.663
La 5.372 -1.513 -2.050
Pm 6.347 -1.144 1.937
Pm 2.416 -5.919 2.117
Pm 3.625 -2.799 4.936
Pm 5.138 -4.263 -0.882
Pm 0.330 -6.131 -4.650
Pm 4.261 -1.357 -4.830
Pm 3.052 -4.476 -7.649
Pm 1.540 -3.012 -1.831
Pm 0.621 -2.395 -5.515
Pm 0.000 0.000 0.000
Tm -1.569 -3.917 -3.434
Tm 2.811 -0.872 -7.596
Tm -0.091 -4.661 -7.923
Tm 1.334 -0.128 -3.106
Tm 3.028 -2.440 1.401
Tm 3.649 -4.835 -4.114
! Total magnetic moment (μB/f.u.): 0.00

---

(Q)
! PBE LaPm5Tm3, relaxed; values from VASP
&SYSTEM
  ibrav = 0, nat = 18, ntyp = 3
/
ATOMIC_SPECIES
La 138.91 La.upf
Pm 145.00 Pm.upf
Tm 168.93 Tm.upf
CELL_PARAMETERS angstrom
-3.232 0.509 5.574
-3.694 -10.098 -4.967
9.681 2.243 5.409
ATOMIC_POSITIONS angstrom
La 4.492 2.118 8.832
La 1.957 0.634 2.151
Pm 5.986 1.883 6.255
Pm -4.308 -6.285 0.508
Pm -2.806 -2.662 3.883
Pm 7.063 -1.061 5.508
Pm -0.590 -5.598 1.689
Pm 0.463 0.869 4.728
Pm 2.630 -5.494 -0.405
Pm 0.125 -1.852 6.421
Pm 3.345 -1.748 4.327
Pm 5.561 -4.684 2.133
Tm 0.000 0.000 0.000
Tm 0.314 -2.350 2.641
Tm 4.841 1.121 2.705
Tm 2.441 -4.996 3.376
Tm 3.858 -1.024 7.581
Tm -1.103 -6.322 -1.565
! Total magnetic moment (μB/f.u.): 0.00

---

Which is the most stable structure? (P) is the most stable.

---

(P)
! PBE LaPm4Tm, relaxed; values from VASP
&SYSTEM
  ibrav = 0, nat = 6, ntyp = 3
/
ATOMIC_SPECIES
Tm 168.93 Tm.upf
La 138.91 La.upf
Pm 145.00 Pm.upf
CELL_PARAMETERS angstrom
-1.335 3.846 5.319
-5.659 -0.921 3.464
0.233 -2.611 6.164
ATOMIC_POSITIONS angstrom
Tm 0.000 0.000 0.000
La -1.690 0.079 3.737
Pm -4.349 1.512 6.251
Pm -1.381 0.661 7.611
Pm -4.232 0.197 9.356
Pm -3.559 -1.741 6.677
! Total magnetic moment (μB/f.u.): 0.00

---

(Q)
! PBE LaPm4Tm, relaxed; values from VASP
&SYSTEM
  ibrav = 0, nat = 6, ntyp = 3
/
ATOMIC_SPECIES
La 138.91 La.upf
Pm 145.00 Pm.upf
Tm 168.93 Tm.upf
CELL_PARAMETERS angstrom
-0.844 -3.542 -0.220
5.893 0.590 -2.118
4.317 -3.400 7.920
ATOMIC_POSITIONS angstrom
La 1.332 -5.238 3.753
Pm 5.710 -2.562 4.244
Pm 3.692 -3.783 1.363
Pm 0.184 -2.925 1.141
Pm 9.218 -3.420 4.467
Tm 2.542 -1.472 -1.156
! Total magnetic moment (μB/f.u.): 0.00

---

Which is the most stable structure? (Q) is the most stable.

---

(P)
! PBE La8Pm2Tm3, relaxed; values from VASP
&SYSTEM
  ibrav = 0, nat = 13, ntyp = 3
/
ATOMIC_SPECIES
La 138.91 La.upf
Pm 145.00 Pm.upf
Tm 168.93 Tm.upf
CELL_PARAMETERS angstrom
-3.042 4.679 -1.566
-5.038 -4.532 -3.754
-3.182 1.446 10.518
ATOMIC_POSITIONS angstrom
La -4.500 -2.547 1.121
La -6.762 4.140 4.077
La -4.512 4.466 0.665
La -6.750 -2.872 4.533
La -7.048 0.786 5.331
La -5.044 2.588 6.824
La -6.218 -0.995 -1.626
La -4.214 0.807 -0.133
Pm -4.251 1.942 3.361
Pm -7.011 -0.348 1.837
Tm -1.521 2.339 -0.783
Tm -1.426 -1.283 -1.063
Tm -3.612 -3.249 -2.691
! Total magnetic moment (μB/f.u.): 0.00

---

(Q)
! PBE La8Pm2Tm3, relaxed; values from VASP
&SYSTEM
  ibrav = 0, nat = 13, ntyp = 3
/
ATOMIC_SPECIES
La 138.91 La.upf
Pm 145.00 Pm.upf
Tm 168.93 Tm.upf
CELL_PARAMETERS angstrom
5.993 0.248 1.249
1.843 8.678 1.547
0.686 -0.680 8.954
ATOMIC_POSITIONS angstrom
La 2.739 4.502 6.116
La 5.784 3.744 5.634
La 5.810 1.366 2.633
La 2.713 6.880 9.117
La 5.024 5.273 2.472
La 4.431 0.475 6.269
La 4.092 7.770 5.482
La 3.499 2.973 9.279
Pm 2.773 2.471 3.556
Pm 5.750 5.774 8.194
Tm 2.997 0.124 0.624
Tm 0.981 1.707 7.065
Tm 1.548 6.292 3.436
! Total magnetic moment (μB/f.u.): 0.00

---

Which is the most stable structure? (Q) is the most stable.

---

(P)
! PBE La3Pm2Tm3, relaxed; values from VASP
&SYSTEM
  ibrav = 0, nat = 8, ntyp = 3
/
ATOMIC_SPECIES
La 138.91 La.upf
Pm 145.00 Pm.upf
Tm 168.93 Tm.upf
CELL_PARAMETERS angstrom
-4.249 2.252 -1.486
1.501 -0.417 -4.924
-3.298 -10.155 2.563
ATOMIC_POSITIONS angstrom
La -2.517 -1.341 -3.362
La -3.530 -6.979 -0.485
La -2.125 1.126 -0.743
Pm -4.447 -3.465 -1.062
Pm -1.600 -4.855 -2.785
Tm -1.178 -2.330 -0.162
Tm 0.751 -0.209 -2.462
Tm -4.868 -5.990 -3.685
! Total magnetic moment (μB/f.u.): 0.00

---

(Q)
! PBE La3Pm2Tm3, relaxed; values from VASP
&SYSTEM
  ibrav = 0, nat = 8, ntyp = 3
/
ATOMIC_SPECIES
La 138.91 La.upf
Pm 145.00 Pm.upf
Tm 168.93 Tm.upf
CELL_PARAMETERS angstrom
-1.949 -4.463 3.419
5.015 -3.069 -1.147
1.790 6.941 4.904
ATOMIC_POSITIONS angstrom
La 4.849 0.702 3.681
La 1.533 -3.766 1.136
La 0.008 -1.293 3.494
Pm 3.219 -2.153 4.202
Pm 1.638 1.562 2.973
Tm 1.546 0.181 6.296
Tm 3.311 -0.772 0.879
Tm 0.000 0.000 0.000
! Total magnetic moment (μB/f.u.): 0.00

---

Which is the most stable structure? (P) is the most stable.